No. 1
The following is a DFT calculation (PBE) of Al2CrAg after structural relaxation.

## Properties
The density of states at the Fermi level is 1.54 states/eV/cell. The calculation puts the total moment at 2.3 μB per formula unit. Its volume is 60.83 Å³/cell. The calculation puts the energy of formation from the pure elements at -0.0059 eV/atom. The uncorrected energy comes out at -4.996 eV per atom. The calculation puts the offset from the most stable computed form at 0.054 eV/atom.

abc: 4.0465 4.0465 3.7149
angles: 90.00 90.00 90.00
Sites, in units of the cell vectors:
Al (0.0000, 0.5000, 0.0000)
Al (0.5000, 0.0000, 0.0000)
Cr (0.0000, 0.0000, 0.5000)
Ag (0.5000, 0.5000, 0.5000)


No. 2
The following is a DFT calculation (PBE) of BaPH6 after structural relaxation.

## Properties
The density of states at the Fermi level is 1.40 states/eV/cell. The calculation puts the total moment at 0.0 μB per formula unit. Its volume is 89.77 Å³/cell. The uncorrected energy comes out at -3.456 eV per atom.

abc: 5.1918 5.1918 5.1918
angles: 56.00 56.00 56.00
Sites, in units of the cell vectors:
Ba (0.0000, 0.0000, 0.0000)
P (0.5000, 0.5000, 0.5000)
H (0.1242, 0.5868, 0.5868)
H (0.4132, 0.4132, 0.8758)
H (0.4132, 0.8758, 0.4132)
H (0.5868, 0.1242, 0.5868)
H (0.5868, 0.5868, 0.1242)
H (0.8758, 0.4132, 0.4132)